1.
Below is a relaxed K3Hf3CuTe8 crystal, with properties calculated at the GGA-PBE level.

abc: 8.255 8.259 9.514
angles: 66.09 66.05 62.18
Positions (direct):
K 0.000 0.000 0.000
K 0.000 0.500 0.000
K 0.500 0.000 0.000
Hf 0.000 0.500 0.500
Hf 0.500 0.000 0.500
Hf 0.500 0.500 0.500
Cu 0.000 0.000 0.500
Te 0.213 0.213 0.321
Te 0.240 0.715 0.302
Te 0.266 0.266 0.701
Te 0.283 0.761 0.697
Te 0.717 0.239 0.303
Te 0.734 0.734 0.299
Te 0.760 0.285 0.698
Te 0.787 0.787 0.679

Results
final energy	-4.923	eV per atom



2.
Below is a relaxed K2HfCu2Te6 crystal, with properties calculated at the GGA-PBE level.

abc: 7.812 7.812 8.533
angles: 115.13 115.13 50.30
Positions (direct):
K 0.218 0.218 0.208
K 0.782 0.782 0.792
Hf 0.000 0.000 0.500
Cu 0.418 0.418 0.838
Cu 0.582 0.582 0.162
Te 0.207 0.684 0.195
Te 0.223 0.223 0.617
Te 0.316 0.793 0.805
Te 0.684 0.207 0.195
Te 0.777 0.777 0.383
Te 0.793 0.316 0.805

Results
final energy	-3.979	eV per atom



3.
Below is a relaxed K2HfCu2Te4 crystal, with properties calculated at the GGA-PBE level.

abc: 8.097 8.097 8.399
angles: 108.77 108.77 30.03
Positions (direct):
K 0.135 0.135 0.066
K 0.865 0.865 0.934
Hf 0.000 0.000 0.500
Cu 0.310 0.310 0.510
Cu 0.690 0.690 0.490
Te 0.195 0.195 0.685
Te 0.480 0.480 0.728
Te 0.520 0.520 0.272
Te 0.805 0.805 0.315

Results
final energy	-4.358	eV per atom



For each record above, in turn, the calculated formation energy without anion corrections values are -764 -417 -701 meV per atom.